First-principles (PBE-GGA) data for a relaxed structure of ZrNi2Pd2, as listed in Alexandria.

Polymorph energy (0 for the lowest one): 95 meV per atom
Formation enthalpy at 0 K: -0.20 eV per atom

a = 7.1929 Å, b = 7.1929 Å, c = 2.9092 Å
α = 90.00°, β = 90.00°, γ = 90.00°
Space group P4/mbm (No. 127)
Inequivalent atoms, fractional coordinates:
Zr: 0.0000 0.0000 0.0000 x2
Ni: 0.1611 0.3389 0.5000 x4
Pd: 0.1356 0.6356 0.0000 x4


First-principles (PBE-GGA) data for a relaxed structure of ZrNi2Pd2, as listed in Alexandria.

Polymorph energy (0 for the lowest one): 91 meV per atom
Formation enthalpy at 0 K: -0.20 eV per atom

a = 3.4920 Å, b = 3.4920 Å, c = 12.9441 Å
α = 90.00°, β = 90.00°, γ = 90.00°
Space group I4/mmm (No. 139)
Inequivalent atoms, fractional coordinates:
Zr: 0.0000 0.0000 0.0000 x2
Ni: 0.0000 0.5000 0.2500 x4
Pd: 0.0000 0.0000 0.3959 x4


First-principles (PBE-GGA) data for a relaxed structure of ZrNi2Pd2, as listed in Alexandria.

Polymorph energy (0 for the lowest one): 0 meV per atom
Formation enthalpy at 0 K: -0.29 eV per atom

a = 6.4998 Å, b = 6.4998 Å, c = 3.5672 Å
α = 90.00°, β = 90.00°, γ = 90.00°
Space group P4/mbm (No. 127)
Inequivalent atoms, fractional coordinates:
Zr: 0.0000 0.0000 0.0000 x2
Ni: 0.1299 0.3701 0.0000 x4
Pd: 0.1636 0.6636 0.5000 x4


First-principles (PBE-GGA) data for a relaxed structure of ZrNi2Pd, as listed in Alexandria.

Formation enthalpy at 0 K: -0.39 eV per atom

a = 6.1541 Å, b = 6.1541 Å, c = 6.1541 Å
α = 90.00°, β = 90.00°, γ = 90.00°
Space group Fm-3m (No. 225)
Inequivalent atoms, fractional coordinates:
Zr: 0.0000 0.0000 0.0000 x4
Ni: 0.2500 0.2500 0.2500 x8
Pd: 0.0000 0.0000 0.5000 x4


First-principles (PBE-GGA) data for a relaxed structure of ZrNiPd3, as listed in Alexandria.

Polymorph energy (0 for the lowest one): 1501 meV per atom
Formation enthalpy at 0 K: 1.01 eV per atom

a = 4.8546 Å, b = 4.8546 Å, c = 4.8546 Å
α = 90.00°, β = 90.00°, γ = 90.00°
Space group Pm-3m (No. 221)
Inequivalent atoms, fractional coordinates:
Zr: 0.0000 0.0000 0.0000 x1
Ni: 0.5000 0.5000 0.5000 x1
Pd: 0.0000 0.0000 0.5000 x3


First-principles (PBE-GGA) data for a relaxed structure of ZrNiPd, as listed in Alexandria.

Formation enthalpy at 0 K: -0.53 eV per atom

a = 3.3623 Å, b = 3.3623 Å, c = 8.5815 Å
α = 90.00°, β = 90.00°, γ = 90.00°
Space group I4mm (No. 107)
Inequivalent atoms, fractional coordinates:
Zr: 0.0000 0.0000 0.0000 x2
Ni: 0.0000 0.0000 0.6536 x2
Pd: 0.0000 0.0000 0.3250 x2


First-principles (PBE-GGA) data for a relaxed structure of Pm2Ni7, as listed in Alexandria.

Formation enthalpy at 0 K: -0.33 eV per atom

a = 4.9982 Å, b = 4.9982 Å, c = 36.5666 Å
α = 90.00°, β = 90.00°, γ = 120.00°
Space group R-3m (No. 166, hexagonal axes)
Inequivalent atoms, fractional coordinates:
Pm: 0.0000 0.0000 0.0506 x6
Pm: 0.0000 0.0000 0.1469 x6
Ni: 0.0000 0.0000 0.2785 x6
Ni: 0.0000 0.0000 0.3877 x6
Ni: 0.0000 0.0000 0.5000 x3
Ni: 0.0000 0.5000 0.0000 x9
Ni: 0.0003 0.5002 0.1088 x18


First-principles (PBE-GGA) data for a relaxed structure of PmNi6, as listed in Alexandria.

Polymorph energy (0 for the lowest one): 980 meV per atom
Formation enthalpy at 0 K: 0.82 eV per atom

a = 5.2942 Å, b = 5.2942 Å, c = 5.2942 Å
α = 90.00°, β = 90.00°, γ = 90.00°
Space group Pm-3m (No. 221)
Inequivalent atoms, fractional coordinates:
Pm: 0.0000 0.0000 0.0000 x1
Ni: 0.1968 0.5000 0.5000 x6


> Which value of formation enthalpy at 0 K does entry 2 give?

-0.20 eV per atom


> Which formula does entry 2 have?

ZrNi2Pd2